This record from Alexandria describes Fe4O7F after structural relaxation. The functional is GGA+U.

Cell: 7.4947 7.4947 4.5232 Å, 91.01 91.01 105.59°
Atoms (fractional coordinates):
Fe 0.0000 0.0000 0.0000
Fe 0.1556 0.4052 0.4489
Fe 0.2734 0.7633 0.9726
Fe 0.4052 0.1556 0.4489
Fe 0.5298 0.5298 0.9563
Fe 0.6419 0.8942 0.4701
Fe 0.7633 0.2734 0.9726
Fe 0.8942 0.6419 0.4701
O 0.0510 0.7858 0.1751
O 0.1181 0.6145 0.6680
O 0.1733 0.1733 0.2755
O 0.3103 0.5540 0.1477
O 0.3731 0.3731 0.6610
O 0.4210 0.9229 0.2720
O 0.4933 0.7439 0.7660
O 0.5540 0.3103 0.1477
O 0.6145 0.1181 0.6680
O 0.6791 0.6791 0.2641
O 0.7439 0.4933 0.7660
O 0.7858 0.0510 0.1751
O 0.8652 0.8652 0.6570
O 0.9229 0.4210 0.2720
F 0.2383 0.9881 0.7797
F 0.9881 0.2383 0.7797

The energy above the most stable polymorph in this dataset comes out at 1.64 eV per formula unit.